Entry 1:
Below is a relaxed LiSm6Al2 crystal, with properties calculated at the PBE-GGA level.

Properties
Calculated volume = 288 Å³/cell
Energy = -36.42 eV per cell
Symmetry = C2/m, No. 12
Spin magnetization = 0.0 μB/cell
Density = 5.54 Mg/m³
DFT formation energy = 0.144 eV/atom
Crystal system = monoclinic

a b c (Å): 5.031 7.539 8.847
angles (deg): 115.22 106.37 90.00
Atoms (fractional coordinates):
Sm 0.167 0.913 0.335
Sm 0.833 0.087 0.665
Sm 0.167 0.422 0.335
Sm 0.833 0.578 0.665
Sm 0.500 0.738 0.000
Sm 0.500 0.262 0.000
Al 0.667 0.668 0.335
Al 0.333 0.332 0.665
Li 0.000 0.000 0.000

Entry 2:
Below is a relaxed LiSmAl2 crystal, with properties calculated at the PBE-GGA level.

Properties
Calculated volume = 86 Å³/cell
Energy above the most stable polymorph in this dataset = 295 meV/atom
Energy = -13.93 eV per cell
Symmetry = R-3m, No. 166
Spin magnetization = 0.0 μB/cell
Density = 4.07 Mg/m³
DFT formation energy = 0.047 eV/atom
Crystal system = trigonal

a b c (Å): 3.140 3.140 10.264
angles (deg): 81.20 81.20 60.00
Atoms (fractional coordinates):
Al 0.743 0.743 0.770
Al 0.257 0.257 0.230
Sm 0.500 0.500 0.500
Li 0.000 0.000 0.000

Entry 3:
Below is a relaxed Li2Sm3Al4 crystal, with properties calculated at the PBE-GGA level.

Properties
Calculated volume = 204 Å³/cell
Energy = -35.78 eV per cell
Symmetry = C2/m, No. 12
Spin magnetization = 0.0 μB/cell
Density = 4.66 Mg/m³
DFT formation energy = -0.314 eV/atom
Crystal system = monoclinic

a b c (Å): 4.737 5.936 8.901
angles (deg): 114.83 90.00 113.52
Atoms (fractional coordinates):
Li 0.585 0.169 0.255
Li 0.415 0.831 0.745
Al 0.973 0.946 0.632
Al 0.740 0.481 0.073
Al 0.260 0.519 0.927
Al 0.027 0.054 0.368
Sm 0.323 0.647 0.345
Sm 0.677 0.353 0.655
Sm 0.000 0.000 0.000